[1]
Density functional theory data (PBEsol) for an optimized crystal structure of BeCrSb.

Cell and atoms, written as CIF:
```
data_BeCrSb
_symmetry_space_group_name_H-M 'P 1'
_symmetry_Int_Tables_number 1
_cell_length_a 3.1578
_cell_length_b 3.1578
_cell_length_c 4.6592
_cell_angle_alpha 109.81
_cell_angle_beta 109.81
_cell_angle_gamma 90.00
loop_
_symmetry_equiv_pos_as_xyz
'x,y,z'
loop_
_atom_site_label
_atom_site_fract_x
_atom_site_fract_y
_atom_site_fract_z
_atom_site_occupancy
Sb1 0.3303 0.3303 0.6606 1
Cr1 0.6510 0.6510 0.3020 1
Be1 0.0187 0.0187 0.0373 1
```

## Properties
Crystal system: tetragonal
Raw formation energy (kcal/mol of atoms): 6.46
SG: No. 107
VASP energy (eV/atom): -5.986
DOS at the Fermi energy (states/eV per cell): 2.43


[2]
Density functional theory data (PBEsol) for an optimized crystal structure of Sr2CuAg.

Cell and atoms, written as CIF:
```
data_Sr2CuAg
_symmetry_space_group_name_H-M 'P 1'
_symmetry_Int_Tables_number 1
_cell_length_a 4.4156
_cell_length_b 4.4156
_cell_length_c 7.7912
_cell_angle_alpha 73.54
_cell_angle_beta 73.54
_cell_angle_gamma 60.00
loop_
_symmetry_equiv_pos_as_xyz
'x,y,z'
loop_
_atom_site_label
_atom_site_fract_x
_atom_site_fract_y
_atom_site_fract_z
_atom_site_occupancy
Sr1 0.2451 0.2451 0.2646 1
Sr2 0.7549 0.7549 0.7354 1
Cu1 0.5000 0.5000 0.5000 1
Ag1 0.0000 0.0000 0.0000 1
```

## Properties
Crystal system: trigonal
Energy of formation (eV/atom): 0.0700
SG: No. 166
VASP energy (eV/atom): -2.761
DOS at the Fermi energy (states/eV per cell): 3.28


[3]
Density functional theory data (PBEsol) for an optimized crystal structure of PbCS2Cl.

Cell and atoms, written as CIF:
```
data_PbCS2Cl
_symmetry_space_group_name_H-M 'P 1'
_symmetry_Int_Tables_number 1
_cell_length_a 4.1801
_cell_length_b 4.1801
_cell_length_c 4.8902
_cell_angle_alpha 90.00
_cell_angle_beta 90.00
_cell_angle_gamma 90.00
loop_
_symmetry_equiv_pos_as_xyz
'x,y,z'
loop_
_atom_site_label
_atom_site_fract_x
_atom_site_fract_y
_atom_site_fract_z
_atom_site_occupancy
C1 0.0000 0.0000 0.0000 1
S1 0.5000 0.0000 0.0000 1
S2 0.0000 0.5000 0.0000 1
Pb1 0.5000 0.5000 0.5000 1
Cl1 0.0000 0.0000 0.5000 1
```

## Properties
Crystal system: tetragonal
Raw formation energy (kcal/mol of atoms): 13.85
SG: No. 123
VASP energy (eV/atom): -4.283
DOS at the Fermi energy (states/eV per cell): 1.73


[4]
Density functional theory data (PBEsol) for an optimized crystal structure of SiTe.

Cell and atoms, written as CIF:
```
data_SiTe
_symmetry_space_group_name_H-M 'P 1'
_symmetry_Int_Tables_number 1
_cell_length_a 3.8425
_cell_length_b 3.8425
_cell_length_c 8.1752
_cell_angle_alpha 76.41
_cell_angle_beta 76.41
_cell_angle_gamma 60.00
loop_
_symmetry_equiv_pos_as_xyz
'x,y,z'
loop_
_atom_site_label
_atom_site_fract_x
_atom_site_fract_y
_atom_site_fract_z
_atom_site_occupancy
Te1 0.0940 0.0940 0.7181 1
Te2 0.9060 0.9060 0.2819 1
Si1 0.6358 0.6358 0.0926 1
Si2 0.3642 0.3642 0.9074 1
```

## Properties
Crystal system: trigonal
Raw formation energy (kcal/mol of atoms): 0.14
SG: No. 166
VASP energy (eV/atom): -4.630
DOS at the Fermi energy (states/eV per cell): 0.26


[5]
Density functional theory data (PBEsol) for an optimized crystal structure of SrLaMn2.

Cell and atoms, written as CIF:
```
data_SrLaMn2
_symmetry_space_group_name_H-M 'P 1'
_symmetry_Int_Tables_number 1
_cell_length_a 3.7297
_cell_length_b 3.7297
_cell_length_c 7.2554
_cell_angle_alpha 90.00
_cell_angle_beta 90.00
_cell_angle_gamma 90.00
loop_
_symmetry_equiv_pos_as_xyz
'x,y,z'
loop_
_atom_site_label
_atom_site_fract_x
_atom_site_fract_y
_atom_site_fract_z
_atom_site_occupancy
Mn1 0.0000 0.0000 0.6943 1
Mn2 0.0000 0.0000 0.3057 1
La1 0.5000 0.5000 0.5000 1
Sr1 0.5000 0.5000 0.0000 1
```

## Properties
Crystal system: tetragonal
Energy of formation (eV/atom): 0.5798
SG: No. 123
VASP energy (eV/atom): -6.097
DOS at the Fermi energy (states/eV per cell): 5.30
Excess energy over the best structure of this formula in the dataset (kJ/mol of atoms): 7.92


[6]
Density functional theory data (PBEsol) for an optimized crystal structure of Sr4SiPb.

Cell and atoms, written as CIF:
```
data_Sr4SiPb
_symmetry_space_group_name_H-M 'P 1'
_symmetry_Int_Tables_number 1
_cell_length_a 6.6655
_cell_length_b 6.6655
_cell_length_c 6.6655
_cell_angle_alpha 60.00
_cell_angle_beta 60.00
_cell_angle_gamma 60.00
loop_
_symmetry_equiv_pos_as_xyz
'x,y,z'
loop_
_atom_site_label
_atom_site_fract_x
_atom_site_fract_y
_atom_site_fract_z
_atom_site_occupancy
Sr1 0.3747 0.3747 0.3747 1
Sr2 0.8760 0.3747 0.3747 1
Sr3 0.3747 0.3747 0.8760 1
Sr4 0.3747 0.8760 0.3747 1
Pb1 0.7500 0.7500 0.7500 1
Si1 0.0000 0.0000 0.0000 1
```

## Properties
Crystal system: cubic
Raw formation energy (kcal/mol of atoms): 10.95
SG: No. 216
VASP energy (eV/atom): -2.376
DOS at the Fermi energy (states/eV per cell): 7.66


[7]
Density functional theory data (PBEsol) for an optimized crystal structure of MgBe4Ir.

Cell and atoms, written as CIF:
```
data_MgBe4Ir
_symmetry_space_group_name_H-M 'P 1'
_symmetry_Int_Tables_number 1
_cell_length_a 4.3907
_cell_length_b 4.3907
_cell_length_c 4.3907
_cell_angle_alpha 60.00
_cell_angle_beta 60.00
_cell_angle_gamma 60.00
loop_
_symmetry_equiv_pos_as_xyz
'x,y,z'
loop_
_atom_site_label
_atom_site_fract_x
_atom_site_fract_y
_atom_site_fract_z
_atom_site_occupancy
Ir1 0.7500 0.7500 0.7500 1
Be1 0.3766 0.3766 0.3766 1
Be2 0.3766 0.8702 0.3766 1
Be3 0.3766 0.3766 0.8702 1
Be4 0.8702 0.3766 0.3766 1
Mg1 0.0000 0.0000 0.0000 1
```

## Properties
Crystal system: cubic
Energy of formation (eV/atom): -0.3513
SG: No. 216
VASP energy (eV/atom): -4.941
DOS at the Fermi energy (states/eV per cell): 2.92


[8]
Density functional theory data (PBEsol) for an optimized crystal structure of NiAgMo2.

Cell and atoms, written as CIF:
```
data_NiAgMo2
_symmetry_space_group_name_H-M 'P 1'
_symmetry_Int_Tables_number 1
_cell_length_a 2.6329
_cell_length_b 2.6329
_cell_length_c 8.1700
_cell_angle_alpha 90.00
_cell_angle_beta 90.00
_cell_angle_gamma 90.00
loop_
_symmetry_equiv_pos_as_xyz
'x,y,z'
loop_
_atom_site_label
_atom_site_fract_x
_atom_site_fract_y
_atom_site_fract_z
_atom_site_occupancy
Mo1 0.0000 0.0000 0.2247 1
Mo2 0.0000 0.0000 0.7753 1
Ag1 0.5000 0.5000 0.5000 1
Ni1 0.5000 0.5000 0.0000 1
```

## Properties
Crystal system: tetragonal
Energy of formation (eV/atom): 0.2470
SG: No. 123
VASP energy (eV/atom): -8.004
DOS at the Fermi energy (states/eV per cell): 4.10
Excess energy over the best structure of this formula in the dataset (kJ/mol of atoms): 0.00